# 1
The following is a PBE calculation of a geometry-optimized AcTb8Nd5 structure, from Alexandria via LeMat-Bulk.

## Properties
**Electronic total energy**: -4.593 eV per atom

abc: 9.011 9.011 17.012
angles: 117.56 117.56 23.04
Element x y z (fractional)
Ac 0.000 0.000 0.000
Tb 0.080 0.080 0.721
Tb 0.284 0.284 0.355
Tb 0.352 0.352 0.061
Tb 0.419 0.419 0.774
Tb 0.581 0.581 0.226
Tb 0.648 0.648 0.939
Tb 0.716 0.716 0.645
Tb 0.920 0.920 0.279
Nd 0.145 0.145 0.441
Nd 0.218 0.218 0.147
Nd 0.500 0.500 0.500
Nd 0.782 0.782 0.853
Nd 0.855 0.855 0.559



# 2
The following is a PBE calculation of a geometry-optimized Ac2TbNd8 structure, from Alexandria via LeMat-Bulk.

## Properties
**Electronic total energy**: -4.477 eV per atom

abc: 7.618 7.618 8.797
angles: 101.49 101.49 55.30
Element x y z (fractional)
Ac 0.170 0.170 0.203
Ac 0.830 0.830 0.797
Tb 0.000 0.000 0.500
Nd 0.211 0.668 0.160
Nd 0.273 0.273 0.822
Nd 0.332 0.789 0.840
Nd 0.379 0.379 0.514
Nd 0.621 0.621 0.486
Nd 0.668 0.211 0.160
Nd 0.727 0.727 0.178
Nd 0.789 0.332 0.840



# 3
The following is a PBE calculation of a geometry-optimized Ac4TbNd6 structure, from Alexandria via LeMat-Bulk.

## Properties
**Electronic total energy**: -4.270 eV per atom

abc: 9.818 9.818 9.818
angles: 136.98 136.98 62.47
Element x y z (fractional)
Ac 0.126 0.126 0.612
Ac 0.486 0.874 0.000
Ac 0.514 0.514 0.388
Ac 0.874 0.486 0.000
Tb 0.500 0.500 0.000
Nd 0.000 0.500 0.500
Nd 0.067 0.728 0.000
Nd 0.272 0.272 0.339
Nd 0.500 0.000 0.500
Nd 0.728 0.067 0.000
Nd 0.933 0.933 0.661



# 4
The following is a PBE calculation of a geometry-optimized AcTb7Nd12 structure, from Alexandria via LeMat-Bulk.

## Properties
**Electronic total energy**: -4.473 eV per atom

abc: 8.881 8.881 8.881
angles: 88.97 88.97 88.97
Element x y z (fractional)
Ac 0.000 0.000 0.000
Tb 0.061 0.155 0.388
Tb 0.155 0.388 0.061
Tb 0.388 0.061 0.155
Tb 0.500 0.500 0.500
Tb 0.612 0.939 0.845
Tb 0.845 0.612 0.939
Tb 0.939 0.845 0.612
Nd 0.136 0.720 0.275
Nd 0.142 0.497 0.627
Nd 0.275 0.136 0.720
Nd 0.280 0.725 0.864
Nd 0.373 0.858 0.503
Nd 0.497 0.627 0.142
Nd 0.503 0.373 0.858
Nd 0.627 0.142 0.497
Nd 0.720 0.275 0.136
Nd 0.725 0.864 0.280
Nd 0.858 0.503 0.373
Nd 0.864 0.280 0.725



| no. | mass density (Mg/m³) | formation energy from the elements (eV/atom) |
| --- | --- | --- |
| 1 | 7.732 | 0.05 |
| 2 | 7.173 | 0.16 |
| 3 | 7.373 | 0.25 |
| 4 | 7.282 | 0.21 |